VASP calculation (PBEsol) on MgIn2Pb after structural relaxation.

Unit cell a=3.356 b=4.397 c=6.917 alpha=90.00 beta=90.54 gamma=90.00
Atoms (fractional coordinates):
1 Mg 0.000 0.000 0.000
2 In 0.499 0.500 0.770
3 In 0.501 0.500 0.230
4 Pb 0.000 0.000 0.500

Calculated values
total DFT energy (no corrections) = -11.83 eV/cell
ΔH_f (0 K) = -37 meV per atom
DOS at the Fermi energy = 1.88 states/eV/cell